[1]
The following is a DFT calculation (GGA-PBEsol) of an optimized crystal structure of Li2InTe.

Unit cell a=4.9878 b=4.9878 c=4.9878 alpha=60.00 beta=60.00 gamma=60.00
Element x y z (fractional)
In 0.0000 0.0000 0.0000
Li 0.2500 0.2500 0.2500
Li 0.7500 0.7500 0.7500
Te 0.5000 0.5000 0.5000

Properties
energy above the lowest structure with this stoichiometry	94	meV/atom
DOS at the Fermi energy	0.3421	states/eV per atom
formation energy without anion corrections	-0.448	eV/atom

***

[2]
The following is a DFT calculation (GGA-PBEsol) of an optimized crystal structure of Li2InTe.

Unit cell a=5.1813 b=5.1813 c=5.1813 alpha=60.00 beta=60.00 gamma=60.00
Element x y z (fractional)
In 0.5000 0.5000 0.5000
Li 0.0000 0.0000 0.0000
Li 0.7500 0.7500 0.7500
Te 0.2500 0.2500 0.2500

Properties
energy above the lowest structure with this stoichiometry	291	meV/atom
DOS at the Fermi energy	0.4062	states/eV per atom
formation energy without anion corrections	-0.251	eV/atom

***

[3]
The following is a DFT calculation (GGA-PBEsol) of an optimized crystal structure of LiInTe2.

Unit cell a=3.3280 b=3.3280 c=9.3088 alpha=90.00 beta=90.00 gamma=90.00
Element x y z (fractional)
In 0.5000 0.5000 0.0000
Li 0.5000 0.5000 0.5000
Te 0.0000 0.0000 0.7157
Te 0.0000 0.0000 0.2843

Properties
DOS at the Fermi energy	0.3145	states/eV per atom
formation energy without anion corrections	-0.312	eV/atom

***

[4]
The following is a DFT calculation (GGA-PBEsol) of an optimized crystal structure of LiInTe2.

Unit cell a=3.3051 b=5.2961 c=5.9746 alpha=90.00 beta=90.00 gamma=90.04
Element x y z (fractional)
In 0.6199 0.3751 0.0000
Li 0.1267 0.8744 0.5000
Te 0.1249 0.8753 0.0000
Te 0.6285 0.3752 0.5000

Properties
DOS at the Fermi energy	0.3798	states/eV per atom
formation energy without anion corrections	-0.426	eV/atom

***

[5]
The following is a DFT calculation (GGA-PBEsol) of an optimized crystal structure of Li2InTe.

Unit cell a=4.0700 b=4.6059 c=4.6059 alpha=90.00 beta=90.00 gamma=90.00
Element x y z (fractional)
In 0.5000 0.0000 0.0000
Li 0.0000 0.0000 0.5000
Li 0.0000 0.5000 0.0000
Te 0.5000 0.5000 0.5000

Properties
energy above the lowest structure with this stoichiometry	0	meV/atom
DOS at the Fermi energy	0.1358	states/eV per atom
formation energy without anion corrections	-0.542	eV/atom

***

[6]
The following is a DFT calculation (GGA-PBEsol) of an optimized crystal structure of LiInTe2.

Unit cell a=5.2955 b=5.2955 c=5.2955 alpha=60.00 beta=60.00 gamma=60.00
Element x y z (fractional)
In 0.5000 0.5000 0.5000
Li 0.2500 0.2500 0.2500
Te 0.0000 0.0000 0.0000
Te 0.7500 0.7500 0.7500

Properties
DOS at the Fermi energy	0.6015	states/eV per atom
formation energy without anion corrections	-0.100	eV/atom

***

[7]
The following is a DFT calculation (GGA-PBEsol) of an optimized crystal structure of LiTlIn2.

Unit cell a=3.2436 b=3.2436 c=8.7301 alpha=90.00 beta=90.00 gamma=90.05
Element x y z (fractional)
Tl 0.5000 0.5000 0.2791
Li 0.0000 0.0000 0.5053
In 0.0000 0.0000 0.9934
In 0.5000 0.5000 0.7222

Properties
DOS at the Fermi energy	0.3853	states/eV per atom
formation enthalpy at 0 K	-0.121	eV/atom

***

[8]
The following is a DFT calculation (GGA-PBEsol) of an optimized crystal structure of LiTlIn2.

Unit cell a=5.1260 b=5.1260 c=5.1260 alpha=60.00 beta=60.00 gamma=60.00
Element x y z (fractional)
Tl 0.7500 0.7500 0.7500
In 0.0000 0.0000 0.0000
In 0.2500 0.2500 0.2500
Li 0.5000 0.5000 0.5000

Properties
DOS at the Fermi energy	0.2563	states/eV per atom
formation enthalpy at 0 K	-0.110	eV/atom